{"formula": "TmZrMo", "functional": "GGA-PBE", "state": "relaxed", "delta_e_f_ev_per_atom": 0.99, "sg": "F-43m (216)", "relative_energy_mev_per_atom": 0, "total_energy_ev_per_fu": -20.90, "lattice": [[0.000, 3.307, 3.307], [3.307, 0.000, 3.307], [3.307, 3.307, 0.000]], "species": ["Mo", "Zr", "Tm"], "frac_coords": [[0.250, 0.250, 0.250], [0.000, 0.000, 0.000], [0.750, 0.750, 0.750]]}